[1]
Below is a relaxed structure of NbVCr2Br, with properties calculated at the PBE level.

abc: 4.447 4.447 4.699
angles: 90.00 90.00 90.00
Element x y z (fractional)
Nb 0.000 0.000 0.000
V 0.500 0.500 0.500
Cr 0.000 0.500 0.500
Cr 0.500 0.000 0.500
Br 0.500 0.500 0.000

* formation energy without anion corrections: 1.33 eV/atom
* total magnetic moment: 2.318 μB per formula unit

[2]
Below is a relaxed structure of ZrNb2CrBr, with properties calculated at the PBE level.

abc: 4.820 4.820 4.312
angles: 90.00 90.00 90.00
Element x y z (fractional)
Zr 0.000 0.000 0.000
Nb 0.000 0.500 0.500
Nb 0.500 0.000 0.500
Cr 0.500 0.500 0.000
Br 0.500 0.500 0.500

* formation energy without anion corrections: 0.93 eV/atom
* total magnetic moment: 0.000 μB per formula unit

[3]
Below is a relaxed structure of CrNiBr, with properties calculated at the PBE level.

abc: 3.975 4.764 10.687
angles: 90.00 90.00 90.00
Element x y z (fractional)
Cr 0.000 0.000 0.000
Cr 0.000 0.500 0.500
Cr 0.500 0.000 0.500
Cr 0.500 0.500 0.000
Ni 0.000 0.000 0.629
Ni 0.000 0.500 0.129
Ni 0.500 0.000 0.129
Ni 0.500 0.500 0.629
Br 0.000 0.000 0.333
Br 0.000 0.500 0.833
Br 0.500 0.000 0.833
Br 0.500 0.500 0.333

* formation energy without anion corrections: 0.53 eV/atom
* total magnetic moment: 3.134 μB per formula unit
* energy relative to the lowest polymorph listed for this composition: 13.95 kcal/mol of atoms

[4]
Below is a relaxed structure of CrNi2Br, with properties calculated at the PBE level.

abc: 3.624 3.624 17.655
angles: 90.00 90.00 120.00
Element x y z (fractional)
Cr 0.000 0.000 0.000
Cr 0.333 0.667 0.667
Cr 0.667 0.333 0.333
Ni 0.000 0.000 0.262
Ni 0.000 0.000 0.547
Ni 0.333 0.667 0.213
Ni 0.333 0.667 0.928
Ni 0.667 0.333 0.595
Ni 0.667 0.333 0.880
Br 0.000 0.000 0.764
Br 0.333 0.667 0.431
Br 0.667 0.333 0.098

* formation energy without anion corrections: 0.47 eV/atom
* total magnetic moment: 2.900 μB per formula unit
* energy relative to the lowest polymorph listed for this composition: 2.92 kcal/mol of atoms